Entry 1:
Here is an optimized crystal structure of Pu2SeF4 from Alexandria via LeMat-Bulk. Energies are from GGA-PBE.

## Properties
* SG: P4_2/mnm, No. 136
* raw formation energy: -297.1 kJ/mol of atoms

Cell and atoms, written as POSCAR:
```
Pu2SeF4
1.0
-0.425 2.461 3.017
-7.359 0.486 -1.434
-1.275 -5.824 4.572
Pu Se F
4 2 8
Cartesian
-2.610 -4.440 3.254
-6.024 -0.899 -0.116
-6.425 -2.610 3.766
-2.635 -0.267 2.389
-0.213 1.231 1.508
-4.317 -2.669 1.569
-1.073 -1.884 1.386
-7.562 -3.455 1.752
-2.208 -2.114 3.956
-6.852 -0.763 2.199
-4.301 -3.408 4.717
-4.759 0.531 1.438
-2.547 -0.354 -0.070
-6.087 -4.984 3.208
```



Entry 2:
Here is an optimized crystal structure of Pu2SeF4 from Alexandria via LeMat-Bulk. Energies are from GGA-PBE.

## Properties
* SG: R-3m, No. 166
* raw formation energy: -297.9 kJ/mol of atoms

Cell and atoms, written as POSCAR:
```
Pu2SeF4
1.0
-2.051 3.219 1.580
-3.847 0.819 -1.263
-4.719 -3.108 5.604
F Se Pu
4 1 2
Cartesian
-5.889 -0.473 4.119
-3.566 -1.242 3.301
-4.729 1.403 1.802
-7.052 2.172 2.621
0.000 0.000 0.000
-2.698 0.162 1.567
-7.920 0.768 4.354
```



Entry 3:
Here is an optimized crystal structure of Pu2SeF2 from Alexandria via LeMat-Bulk. Energies are from GGA-PBE.

## Properties
* SG: R-3m, No. 166
* raw formation energy: -228.9 kJ/mol of atoms

Cell and atoms, written as POSCAR:
```
Pu2SeF2
1.0
3.981 0.000 0.000
1.991 3.448 0.000
1.991 1.149 7.630
Pu Se F
2 1 2
Cartesian
3.981 2.298 1.849
3.981 2.298 5.781
0.000 0.000 0.000
1.991 1.149 2.735
5.972 3.448 4.895
```